one | KMn2Ru PBEsol relaxed; SG = R-3m, No. 166; ρ = 6.9 Mg/m³
1.0
-1.655 -2.060 -0.258
-0.415 -1.634 2.051
-8.158 4.398 3.571
Mn K Ru
2 1 1
Direct
0.235 0.235 0.296
0.765 0.765 0.704
0.000 0.000 0.000
0.500 0.500 0.500

---

two | KMn2Ru PBEsol relaxed; SG = P4mm, No. 99; ρ = 6.0 Mg/m³
1.0
2.860 0.000 0.000
0.000 2.860 0.000
0.000 0.000 8.504
Mn K Ru
2 1 1
Direct
0.000 0.000 0.082
0.500 0.500 0.263
0.500 0.500 0.735
0.000 0.000 0.420

---

Calculated relative energies: one 0.209; two 0.000, given in eV/atom

---

one | KSc2Mn PBEsol relaxed; SG = P4mm, No. 99; ρ = 2.8 Mg/m³
1.0
3.556 0.000 0.000
0.000 3.556 0.000
0.000 0.000 8.658
Sc K Mn
2 1 1
Direct
0.500 0.500 0.163
0.000 0.000 0.945
0.000 0.000 0.537
0.500 0.500 0.855

---

two | KSc2Mn PBEsol relaxed; SG = R-3m, No. 166; ρ = 3.1 Mg/m³
1.0
3.311 0.000 0.000
1.655 2.867 0.000
1.655 0.956 10.392
Sc Mn K
2 1 1
Direct
0.721 0.721 0.837
0.279 0.279 0.163
0.000 0.000 0.000
0.500 0.500 0.500

---

three | KSc2Mn PBEsol relaxed; SG = Cmmm, No. 65; ρ = 3.2 Mg/m³
1.0
-0.157 -0.533 -3.186
-5.400 -1.073 0.446
0.466 5.425 -0.930
Mn Sc K
1 2 1
Direct
0.500 0.500 0.500
0.000 0.000 0.500
0.000 0.500 0.000
0.500 0.000 0.000

---

Calculated relative energies: one 0.038; two 0.000; three 0.435, given in eV/atom

---

one | KSc2Mn PBEsol relaxed; SG = F-43m, No. 216; ρ = 3.1 Mg/m³
1.0
-1.008 -4.539 2.297
1.586 -0.854 4.863
-3.463 -0.244 3.852
Sc K Mn
2 1 1
Direct
0.000 0.000 0.000
0.750 0.750 0.750
0.500 0.500 0.500
0.250 0.250 0.250

---

two | KSc2Mn PBEsol relaxed; SG = Fm-3m, No. 225; ρ = 3.3 Mg/m³
1.0
5.069 0.000 0.000
2.534 4.390 0.000
2.534 1.463 4.139
Mn Sc K
1 2 1
Direct
0.500 0.500 0.500
0.750 0.750 0.750
0.250 0.250 0.250
0.000 0.000 0.000

---

Calculated relative energies: one 0.139; two 0.000, given in eV/atom

---

one | KMn2Si PBEsol relaxed; SG = P4/mmm, No. 123; ρ = 4.1 Mg/m³
1.0
-2.322 -1.692 -0.712
0.825 -1.987 2.034
-4.550 3.874 5.631
Mn Si K
2 1 1
Direct
0.000 0.000 0.846
0.000 0.000 0.154
0.500 0.500 0.000
0.500 0.500 0.500

---

two | KMn2Si PBEsol relaxed; SG = R-3m, No. 166; ρ = 5.0 Mg/m³
1.0
2.682 0.000 0.000
1.341 2.322 0.000
1.341 0.774 9.473
Si Mn K
1 2 1
Direct
0.500 0.500 0.500
0.768 0.768 0.696
0.232 0.232 0.304
0.000 0.000 0.000

---

Calculated relative energies: one 0.000; two 0.219, given in eV/atom

---

one | K2SrMn PBEsol relaxed; SG = P4mm, No. 99; ρ = 2.0 Mg/m³
1.0
4.056 0.000 0.000
0.000 4.056 0.000
0.000 0.000 11.124
K Mn Sr
2 1 1
Direct
0.000 0.000 0.980
0.500 0.500 0.318
0.000 0.000 0.527
0.500 0.500 0.676

---

two | K2SrMn PBEsol relaxed; SG = P4/mmm, No. 123; ρ = 2.0 Mg/m³
1.0
3.945 0.000 0.000
0.000 3.945 0.000
0.000 0.000 11.759
K Mn Sr
2 1 1
Direct
0.000 0.000 0.200
0.000 0.000 0.800
0.500 0.500 0.000
0.500 0.500 0.500

---

Calculated relative energies: one 0.000; two 0.198, given in eV/atom

---

one | KSrMn2 PBEsol relaxed; SG = Pmmm, No. 47; ρ = 3.0 Mg/m³
1.0
-1.611 2.120 2.599
-3.716 -2.625 -0.162
3.007 -4.603 5.616
Mn Sr K
2 1 1
Direct
0.000 0.000 0.832
0.000 0.000 0.168
0.500 0.500 0.000
0.500 0.500 0.500

---

two | KSrMn2 PBEsol relaxed; SG = P4mm, No. 99; ρ = 3.2 Mg/m³
1.0
3.547 0.000 0.000
0.000 3.547 0.000
0.000 0.000 9.634
Mn Sr K
2 1 1
Direct
0.000 0.000 0.085
0.500 0.500 0.192
0.000 0.000 0.411
0.500 0.500 0.813

---

Calculated relative energies: one 0.185; two 0.000, given in eV/atom

---

one | KMnTc2 PBEsol relaxed; SG = P4/mmm, No. 123; ρ = 7.3 Mg/m³
1.0
2.636 0.000 0.000
0.000 2.636 0.000
0.000 0.000 9.458
Tc Mn K
2 1 1
Direct
0.000 0.000 0.681
0.000 0.000 0.319
0.500 0.500 0.500
0.500 0.500 0.000

---

two | KMnTc2 PBEsol relaxed; SG = R-3m, No. 166; ρ = 7.6 Mg/m³
1.0
-0.607 0.899 2.479
-2.584 0.155 0.788
-0.557 -8.957 4.587
Tc Mn K
2 1 1
Direct
0.733 0.733 0.802
0.267 0.267 0.198
0.000 0.000 0.000
0.500 0.500 0.500

---

Calculated relative energies: one 0.015; two 0.000, given in eV/atom

---

one | KMn2W PBEsol relaxed; SG = Fm-3m, No. 225; ρ = 8.2 Mg/m³
1.0
4.577 0.000 0.000
2.288 3.963 0.000
2.288 1.321 3.737
Mn W K
2 1 1
Direct
0.750 0.750 0.750
0.250 0.250 0.250
0.500 0.500 0.500
0.000 0.000 0.000

---

two | KMn2W PBEsol relaxed; SG = R-3m, No. 166; ρ = 7.6 Mg/m³
1.0
-0.083 1.237 2.679
1.949 -0.813 2.062
6.667 7.030 -1.415
K Mn W
1 2 1
Direct
0.000 0.000 0.000
0.231 0.231 0.307
0.769 0.769 0.693
0.500 0.500 0.500

---

Calculated relative energies: one 0.572; two 0.000, given in eV/atom

---

one | KZrMn2 PBEsol relaxed; SG = F-43m, No. 216; ρ = 5.1 Mg/m³
1.0
4.809 0.000 0.000
2.405 4.165 0.000
2.405 1.388 3.927
K Mn Zr
1 2 1
Direct
0.500 0.500 0.500
0.000 0.000 0.000
0.750 0.750 0.750
0.250 0.250 0.250

---

two | KZrMn2 PBEsol relaxed; SG = Cmmm, No. 65; ρ = 4.8 Mg/m³
1.0
3.011 0.000 0.000
0.000 5.259 0.123
0.000 -0.107 5.260
K Mn Zr
1 2 1
Direct
0.500 0.500 0.500
0.000 0.500 0.000
0.000 0.000 0.500
0.500 0.000 0.000

---

Calculated relative energies: one 0.232; two 0.000, given in eV/atom

---

one | KZr2Mn PBEsol relaxed; SG = F-43m, No. 216; ρ = 5.0 Mg/m³
1.0
-3.060 1.550 -3.709
-1.739 -3.315 -3.392
-4.876 -1.322 0.029
Zr K Mn
2 1 1
Direct
0.750 0.750 0.750
0.000 0.000 0.000
0.500 0.500 0.500
0.250 0.250 0.250

---

two | KZr2Mn PBEsol relaxed; SG = P4mm, No. 99; ρ = 4.5 Mg/m³
1.0
-0.130 1.636 -2.769
-2.835 -1.367 -0.675
-4.598 7.297 4.528
Mn Zr K
1 2 1
Direct
0.500 0.500 0.813
0.000 0.000 0.973
0.500 0.500 0.183
0.000 0.000 0.531

---

Calculated relative energies: one 0.625; two 0.000, given in eV/atom

---

one | KMo PBEsol relaxed; SG = Cm, No. 8; ρ = 2.9 Mg/m³
1.0
4.119 0.000 0.000
-2.060 4.045 0.001
0.000 -0.970 13.921
Mo K
3 3
Direct
0.296 0.593 0.247
0.638 0.276 0.278
0.979 0.959 0.309
0.644 0.288 0.778
0.959 0.918 0.060
0.317 0.634 0.495

---

two | KMo PBEsol relaxed; SG = P4/nmm, No. 129; ρ = 3.8 Mg/m³
1.0
-2.955 1.290 -0.637
-1.429 -2.457 1.651
0.566 5.810 9.138
K Mo
2 2
Direct
0.000 0.500 0.198
0.500 0.000 0.802
0.500 0.000 0.452
0.000 0.500 0.548

---

three | KMo PBEsol relaxed; SG = Fd-3m, No. 227; ρ = 5.4 Mg/m³
1.0
-2.537 0.956 -4.068
1.786 -1.310 -4.358
-2.081 -3.651 -2.497
K Mo
2 2
Direct
0.750 0.750 0.750
0.500 0.500 0.500
0.000 0.000 0.000
0.250 0.250 0.250

---

Calculated relative energies: one 0.000; two 0.096; three 1.097, given in eV/atom

---

one | K2NiMo PBEsol relaxed; SG = P4/mmm, No. 123; ρ = 4.7 Mg/m³
1.0
2.705 0.000 0.000
0.000 2.705 0.000
0.000 0.000 11.138
K Mo Ni
2 1 1
Direct
0.000 0.000 0.726
0.000 0.000 0.274
0.500 0.500 0.000
0.500 0.500 0.500

---

two | K2NiMo PBEsol relaxed; SG = Imm2, No. 44; ρ = 3.6 Mg/m³
1.0
2.829 0.000 0.000
0.000 6.050 0.000
-1.414 -3.025 6.190
Mo Ni K
1 1 2
Direct
0.568 0.568 0.137
0.217 0.717 0.433
0.759 0.259 0.518
0.956 0.956 0.913

---

three | K2NiMo PBEsol relaxed; SG = Pmm2, No. 25; ρ = 3.6 Mg/m³
1.0
2.796 0.000 0.000
0.000 3.758 0.000
0.000 0.000 10.292
K Mo Ni
2 1 1
Direct
0.000 0.000 0.906
0.500 0.500 0.331
0.000 0.000 0.592
0.500 0.500 0.670

---

four | K2NiMo PBEsol relaxed; SG = Immm, No. 71; ρ = 3.4 Mg/m³
1.0
2.760 0.000 0.000
0.000 4.106 -0.022
-1.380 -2.003 10.068
Ni K Mo
1 2 1
Direct
0.000 0.500 0.000
0.643 0.643 0.285
0.357 0.357 0.715
0.500 0.000 0.000

---

Calculated relative energies: one 0.532; two 0.369; three 0.000; four 0.044, given in eV/atom